[1]
Here is crystalline LiTl2Cd at its relaxed geometry from the Alexandria database. Energies are from PBE.

a b c (Å): 5.865 5.865 5.865
angles (deg): 134.95 134.95 65.61
Positions (direct):
Li (0.000, 0.000, 0.000)
Tl (0.250, 0.750, 0.500)
Tl (0.500, 0.500, 0.000)
Cd (0.750, 0.250, 0.500)

**Fermi-level density of states**: 0.412 states/eV/atom
**SG**: No. 119
**ΔH_f (0 K)**: -74.5 meV/atom

***

[2]
Here is crystalline Rb2HoAg2Cl6 at its relaxed geometry from the Alexandria database. Energies are from PBE.

a b c (Å): 7.516 7.516 8.494
angles (deg): 115.62 115.62 62.82
Positions (direct):
Rb (0.213, 0.213, 0.159)
Rb (0.787, 0.787, 0.841)
Ho (0.000, 0.000, 0.500)
Ag (0.445, 0.445, 0.815)
Ag (0.555, 0.555, 0.185)
Cl (0.166, 0.704, 0.239)
Cl (0.220, 0.220, 0.550)
Cl (0.296, 0.834, 0.761)
Cl (0.704, 0.166, 0.239)
Cl (0.780, 0.780, 0.450)
Cl (0.834, 0.296, 0.761)

**Fermi-level density of states**: 0.116 states/eV/atom
**Formation energy (no corrections)**: -1486 meV/atom
**SG**: No. 12